Entry 1:
# Nb2ZnC | Alexandria | PBE | relaxed
data_Nb2ZnC
_chemical_formula_sum 'Nb6 Zn3 C3'
_symmetry_space_group_name_H-M 'R 3 m'
_symmetry_Int_Tables_number 160
_symmetry_space_group_name_Hall 'R 3 -2"'
_cell_length_a 3.1419
_cell_length_b 3.1419
_cell_length_c 20.8539
_cell_angle_alpha 90.00
_cell_angle_beta 90.00
_cell_angle_gamma 120.00
loop_
_atom_site_label
_atom_site_type_symbol
_atom_site_fract_x
_atom_site_fract_y
_atom_site_fract_z
Nb1 Nb 0.0000 0.0000 0.0000
Nb2 Nb 0.0000 0.0000 0.2163
Zn1 Zn 0.0000 0.0000 0.4408
C1 C 0.0000 0.0000 0.6084
# VASP energy   -8.001 eV per atom

=====

Entry 2:
# Nb3ZnC | Alexandria | PBE | relaxed
data_Nb3ZnC
_chemical_formula_sum 'Nb3 Zn1 C1'
_symmetry_space_group_name_H-M 'P m -3 m'
_symmetry_Int_Tables_number 221
_symmetry_space_group_name_Hall '-P 4 2 3'
_cell_length_a 4.298
_cell_length_b 4.298
_cell_length_c 4.298
_cell_angle_alpha 90.00
_cell_angle_beta 90.00
_cell_angle_gamma 90.00
loop_
_atom_site_label
_atom_site_type_symbol
_atom_site_fract_x
_atom_site_fract_y
_atom_site_fract_z
Nb1 Nb 0.000 0.000 0.500
Zn1 Zn 0.500 0.500 0.500
C1 C 0.000 0.000 0.000
# VASP energy   -8.247 eV per atom

=====

In order of appearance, magnetization = 0.00, 0.00 μB/f.u..